# ZrCuP | Alexandria | GGA-PBE | optimized geometry
data_ZrCuP
_chemical_formula_sum 'Zr4 Cu4 P4'
_cell_length_a 9.4838
_cell_length_b 3.7657
_cell_length_c 5.5662
_cell_angle_alpha 90.00
_cell_angle_beta 102.58
_cell_angle_gamma 90.00
_symmetry_space_group_name_H-M 'C 1 m 1'
_symmetry_Int_Tables_number 8
_symmetry_space_group_name_Hall 'C -2y'
loop_
_atom_site_label
_atom_site_type_symbol
_atom_site_fract_x
_atom_site_fract_y
_atom_site_fract_z
Zr1 Zr 0.0000 0.0000 0.0000
Zr2 Zr 0.1642 0.5000 0.5723
Cu1 Cu 0.2074 0.5000 0.0982
Cu2 Cu 0.3499 0.0000 0.3162
P1 P 0.2883 0.0000 0.8878
P2 P 0.4511 0.5000 0.5044
# Formation enthalpy at 0 K (eV/atom): -0.722
# Total DFT energy (no corrections) (eV/atom): -6.740